[1]
# Rb3CdGe SCAN PBEsol geometry
# ΔE_f = 245 meV per atom
# DOS(E_F) = 1.49 states/eV/cell
# space-group type = Pm-3m
data_Rb3CdGe
_cell_length_a 6.707
_cell_length_b 6.707
_cell_length_c 6.707
_cell_angle_alpha 90.00
_cell_angle_beta 90.00
_cell_angle_gamma 90.00
_space_group_name_H-M_alt 'P 1'
_space_group_IT_number 1
_space_group_name_Hall 'P 1'
loop_
_atom_site_label
_atom_site_fract_x
_atom_site_fract_y
_atom_site_fract_z
Rb1 0.000 0.500 0.000
Rb2 0.000 0.000 0.500
Rb3 0.500 0.000 0.000
Cd1 0.500 0.500 0.500
Ge1 0.000 0.000 0.000

=====

[2]
# CdReGe3 SCAN PBEsol geometry
# ΔE_f = 1923 meV per atom
# DOS(E_F) = 2.60 states/eV/cell
# space-group type = Pm-3m
data_CdReGe3
_cell_length_a 4.925
_cell_length_b 4.925
_cell_length_c 4.925
_cell_angle_alpha 90.00
_cell_angle_beta 90.00
_cell_angle_gamma 90.00
_space_group_name_H-M_alt 'P 1'
_space_group_IT_number 1
_space_group_name_Hall 'P 1'
loop_
_atom_site_label
_atom_site_fract_x
_atom_site_fract_y
_atom_site_fract_z
Ge1 0.500 0.000 0.000
Ge2 0.000 0.500 0.000
Ge3 0.000 0.000 0.500
Cd1 0.000 0.000 0.000
Re1 0.500 0.500 0.500

=====

[3]
# TiCdRe2Ge SCAN PBEsol geometry
# ΔE_f = 2392 meV per atom
# DOS(E_F) = 2.33 states/eV/cell
# space-group type = P4/mmm
data_TiCdRe2Ge
_cell_length_a 4.507
_cell_length_b 4.885
_cell_length_c 4.885
_cell_angle_alpha 90.00
_cell_angle_beta 90.00
_cell_angle_gamma 90.00
_space_group_name_H-M_alt 'P 1'
_space_group_IT_number 1
_space_group_name_Hall 'P 1'
loop_
_atom_site_label
_atom_site_fract_x
_atom_site_fract_y
_atom_site_fract_z
Ge1 0.500 0.000 0.000
Ti1 0.500 0.500 0.500
Re1 0.000 0.500 0.000
Re2 0.000 0.000 0.500
Cd1 0.000 0.000 0.000

=====

[4]
# Cd2GeRuRh SCAN PBEsol geometry
# ΔE_f = 977 meV per atom
# DOS(E_F) = 2.42 states/eV/cell
# space-group type = P4/mmm
data_Cd2GeRuRh
_cell_length_a 4.526
_cell_length_b 4.991
_cell_length_c 4.991
_cell_angle_alpha 90.00
_cell_angle_beta 90.00
_cell_angle_gamma 90.00
_space_group_name_H-M_alt 'P 1'
_space_group_IT_number 1
_space_group_name_Hall 'P 1'
loop_
_atom_site_label
_atom_site_fract_x
_atom_site_fract_y
_atom_site_fract_z
Cd1 0.000 0.500 0.000
Ru1 0.500 0.000 0.000
Cd2 0.000 0.000 0.500
Ge1 0.500 0.500 0.500
Rh1 0.000 0.000 0.000

=====

[5]
# Cd2GeRu SCAN PBEsol geometry
# ΔE_f = 543 meV per atom
# DOS(E_F) = 2.25 states/eV/cell
# space-group type = Fm-3m
data_Cd2GeRu
_cell_length_a 4.637
_cell_length_b 4.637
_cell_length_c 4.637
_cell_angle_alpha 60.00
_cell_angle_beta 60.00
_cell_angle_gamma 60.00
_space_group_name_H-M_alt 'P 1'
_space_group_IT_number 1
_space_group_name_Hall 'P 1'
loop_
_atom_site_label
_atom_site_fract_x
_atom_site_fract_y
_atom_site_fract_z
Cd1 0.750 0.750 0.750
Cd2 0.250 0.250 0.250
Ru1 0.500 0.500 0.500
Ge1 0.000 0.000 0.000

=====

[6]
# Cd2GeS SCAN PBEsol geometry
# ΔE_f (raw) = 358 meV/atom
# DOS(E_F) = 4.00 states/eV/cell
# space-group type = Fm-3m
data_Cd2GeS
_cell_length_a 4.812
_cell_length_b 4.812
_cell_length_c 4.812
_cell_angle_alpha 60.00
_cell_angle_beta 60.00
_cell_angle_gamma 60.00
_space_group_name_H-M_alt 'P 1'
_space_group_IT_number 1
_space_group_name_Hall 'P 1'
loop_
_atom_site_label
_atom_site_fract_x
_atom_site_fract_y
_atom_site_fract_z
Ge1 0.500 0.500 0.500
Cd1 0.250 0.250 0.250
S1 0.000 0.000 0.000
Cd2 0.750 0.750 0.750

=====

[7]
# CdGeS3 SCAN PBEsol geometry
# ΔE_f (raw) = 658 meV/atom
# DOS(E_F) = 3.79 states/eV/cell
# space-group type = Pm-3m
data_CdGeS3
_cell_length_a 4.847
_cell_length_b 4.847
_cell_length_c 4.847
_cell_angle_alpha 90.00
_cell_angle_beta 90.00
_cell_angle_gamma 90.00
_space_group_name_H-M_alt 'P 1'
_space_group_IT_number 1
_space_group_name_Hall 'P 1'
loop_
_atom_site_label
_atom_site_fract_x
_atom_site_fract_y
_atom_site_fract_z
Ge1 0.500 0.500 0.500
Cd1 0.000 0.000 0.000
S1 0.000 0.000 0.500
S2 0.000 0.500 0.000
S3 0.500 0.000 0.000

=====

[8]
# CdGeSb3 SCAN PBEsol geometry
# ΔE_f (raw) = 694 meV/atom
# DOS(E_F) = 4.16 states/eV/cell
# space-group type = Pm-3m
data_CdGeSb3
_cell_length_a 5.291
_cell_length_b 5.291
_cell_length_c 5.291
_cell_angle_alpha 90.00
_cell_angle_beta 90.00
_cell_angle_gamma 90.00
_space_group_name_H-M_alt 'P 1'
_space_group_IT_number 1
_space_group_name_Hall 'P 1'
loop_
_atom_site_label
_atom_site_fract_x
_atom_site_fract_y
_atom_site_fract_z
Sb1 0.500 0.000 0.000
Cd1 0.500 0.500 0.500
Ge1 0.000 0.000 0.000
Sb2 0.000 0.500 0.000
Sb3 0.000 0.000 0.500